The following is a meta-GGA SCAN calculation of a crystal of Ca3Sb2O7 relaxed with PBEsol, from Alexandria via LeMat-Bulk.

Properties
Density ... 4.8 g cm⁻³
Electronic total energy ... -14.59 eV/atom

abc: 5.665 5.887 10.295
angles: 90.00 105.97 90.00
Atoms (fractional coordinates):
O  0.318  0.457  0.739
O  0.029  0.553  0.159
O  0.421  0.957  0.739
O  0.682  0.957  0.261
O  0.870  0.553  0.841
O  0.624  0.194  0.000
O  0.130  0.053  0.159
O  0.376  0.694  0.000
O  0.945  0.795  0.596
O  0.651  0.295  0.596
O  0.055  0.295  0.404
O  0.349  0.795  0.404
O  0.971  0.053  0.841
O  0.579  0.457  0.261
Sb  0.642  0.249  0.794
Sb  0.152  0.749  0.794
Sb  0.848  0.249  0.206
Sb  0.358  0.749  0.206
Ca  0.569  0.686  0.613
Ca  0.773  0.807  0.000
Ca  0.045  0.186  0.613
Ca  0.227  0.307  0.000
Ca  0.431  0.186  0.387
Ca  0.955  0.686  0.387

***

The following is a meta-GGA SCAN calculation of a crystal of Cd2TcW relaxed with PBEsol, from Alexandria via LeMat-Bulk.

Properties
DFT formation energy ... 592 meV per atom
Density ... 12.6 g cm⁻³
Electronic total energy ... -40.80 eV/atom

abc: 2.721 5.319 5.459
angles: 115.64 98.21 102.63
Atoms (fractional coordinates):
W  0.000  0.500  0.000
Cd  0.000  0.000  0.500
Cd  0.500  0.500  0.500
Tc  0.500  0.000  0.000